1.
The following is a PBE calculation of crystalline NaIn at its relaxed geometry, from Alexandria. Values from VASP.

## Properties
magnetic moment: 0.0 μB/cell
calculated volume: 27.8 A^3/atom
formation energy: -0.052 eV per atom

Geometry as Quantum ESPRESSO input:
```
&SYSTEM
  ibrav = 0, nat = 2, ntyp = 2
/
ATOMIC_SPECIES
Na 22.99 Na.upf
In 114.82 In.upf
CELL_PARAMETERS angstrom
5.373 0.000 0.000
0.000 1.694 3.056
0.000 -1.694 3.056
ATOMIC_POSITIONS angstrom
Na 0.000 0.000 0.000
In 2.686 0.000 4.144
```

=====

2.
The following is a PBE calculation of crystalline NaFe3P at its relaxed geometry, from Alexandria. Values from VASP.

## Properties
magnetic moment: 0.6 μB/cell
calculated volume: 14.9 A^3/atom
formation energy: 2.558 eV per atom

Geometry as Quantum ESPRESSO input:
```
&SYSTEM
  ibrav = 0, nat = 5, ntyp = 3
/
ATOMIC_SPECIES
Na 22.99 Na.upf
Fe 55.84 Fe.upf
P 30.97 P.upf
CELL_PARAMETERS angstrom
4.207 0.000 0.000
0.000 4.207 0.000
0.000 0.000 4.207
ATOMIC_POSITIONS angstrom
Na 0.000 0.000 0.000
Fe 0.000 0.000 2.103
Fe 0.000 2.103 0.000
Fe 2.103 0.000 0.000
P 2.103 2.103 2.103
```

=====

3.
The following is a PBE calculation of crystalline Cd2AsSe at its relaxed geometry, from Alexandria. Values from VASP.

## Properties
magnetic moment: 0.0 μB/cell
calculated volume: 22.0 A^3/atom
E_form (uncorrected): 0.237 eV/atom

Geometry as Quantum ESPRESSO input:
```
&SYSTEM
  ibrav = 0, nat = 4, ntyp = 3
/
ATOMIC_SPECIES
Cd 112.41 Cd.upf
As 74.92 As.upf
Se 78.96 Se.upf
CELL_PARAMETERS angstrom
0.000 3.529 3.529
3.529 0.000 3.529
3.529 3.529 0.000
ATOMIC_POSITIONS angstrom
Cd 0.000 0.000 0.000
Cd 1.764 1.764 1.764
As 3.529 3.529 3.529
Se 5.293 5.293 5.293
```

=====

4.
The following is a PBE calculation of crystalline HfTi5Ni2 at its relaxed geometry, from Alexandria. Values from VASP.

## Properties
magnetic moment: 0.0 μB/cell
calculated volume: 16.8 A^3/atom
formation energy: -0.089 eV per atom

Geometry as Quantum ESPRESSO input:
```
&SYSTEM
  ibrav = 0, nat = 8, ntyp = 3
/
ATOMIC_SPECIES
Hf 178.49 Hf.upf
Ti 47.87 Ti.upf
Ni 58.69 Ni.upf
CELL_PARAMETERS angstrom
-1.947 3.597 4.783
1.947 -3.597 4.783
1.947 3.597 -4.783
ATOMIC_POSITIONS angstrom
Hf 0.000 0.000 0.000
Ti 1.947 2.112 -1.395
Ti 1.947 2.112 1.395
Ti 0.000 3.597 0.000
Ti 0.000 1.485 3.388
Ti 0.000 1.485 6.179
Ni 1.947 0.000 2.294
Ni 0.000 3.597 2.489
```

=====

5.
The following is a PBE calculation of crystalline K2RbH6Os at its relaxed geometry, from Alexandria. Values from VASP.

## Properties
magnetic moment: 1.0 μB/cell
calculated volume: 15.8 A^3/atom
total DFT energy (no corrections): -0.2629 Ry per atom

Geometry as Quantum ESPRESSO input:
```
&SYSTEM
  ibrav = 0, nat = 10, ntyp = 4
/
ATOMIC_SPECIES
K 39.10 K.upf
Rb 85.47 Rb.upf
H 1.01 H.upf
Os 190.23 Os.upf
CELL_PARAMETERS angstrom
0.000 4.295 4.295
4.295 0.000 4.295
4.295 4.295 0.000
ATOMIC_POSITIONS angstrom
K 2.148 2.148 2.148
K 6.443 6.443 6.443
Rb 0.000 0.000 0.000
H 4.295 4.295 2.573
H 4.295 2.573 4.295
H 6.017 4.295 4.295
H 2.573 4.295 4.295
H 4.295 6.017 4.295
H 4.295 4.295 6.017
Os 4.295 4.295 4.295
```

=====

6.
The following is a PBE calculation of crystalline KCrIr2C at its relaxed geometry, from Alexandria. Values from VASP.

## Properties
magnetic moment: 4.7 μB/cell
calculated volume: 16.6 A^3/atom
formation energy: 0.803 eV per atom

Geometry as Quantum ESPRESSO input:
```
&SYSTEM
  ibrav = 0, nat = 5, ntyp = 4
/
ATOMIC_SPECIES
K 39.10 K.upf
Cr 52.00 Cr.upf
Ir 192.22 Ir.upf
C 12.01 C.upf
CELL_PARAMETERS angstrom
4.050 0.000 0.000
0.000 4.050 0.000
0.000 0.000 5.071
ATOMIC_POSITIONS angstrom
K 0.000 0.000 0.000
Cr 2.025 2.025 0.000
Ir 0.000 2.025 2.536
Ir 2.025 0.000 2.536
C 0.000 0.000 2.536
```

=====

7.
The following is a PBE calculation of crystalline DyTm2HfP4 at its relaxed geometry, from Alexandria. Values from VASP.

## Properties
magnetic moment: 0.0 μB/cell
calculated volume: 20.8 A^3/atom
formation energy: -1.529 eV per atom

Geometry as Quantum ESPRESSO input:
```
&SYSTEM
  ibrav = 0, nat = 8, ntyp = 4
/
ATOMIC_SPECIES
Dy 162.50 Dy.upf
Tm 168.93 Tm.upf
Hf 178.49 Hf.upf
P 30.97 P.upf
CELL_PARAMETERS angstrom
6.733 0.000 0.000
0.000 3.885 0.000
-2.222 0.000 6.362
ATOMIC_POSITIONS angstrom
Dy 0.000 0.000 0.000
Tm 2.256 0.000 3.181
Tm 3.367 1.942 0.000
Hf -1.111 1.942 3.181
P -0.021 0.000 4.695
P 1.087 1.942 1.644
P 3.425 1.942 4.718
P 4.532 0.000 1.667
```

=====

8.
The following is a PBE calculation of crystalline EuZnSb2 at its relaxed geometry, from Alexandria. Values from VASP.

## Properties
magnetic moment: 6.8 μB/cell
calculated volume: 25.4 A^3/atom
E_form (uncorrected): -0.447 eV/atom

Geometry as Quantum ESPRESSO input:
```
&SYSTEM
  ibrav = 0, nat = 4, ntyp = 3
/
ATOMIC_SPECIES
Eu 151.96 Eu.upf
Zn 65.41 Zn.upf
Sb 121.76 Sb.upf
CELL_PARAMETERS angstrom
4.765 0.000 0.000
0.000 4.765 0.000
0.000 0.000 4.478
ATOMIC_POSITIONS angstrom
Eu 0.000 0.000 0.000
Zn 2.383 2.383 0.000
Sb 0.000 2.383 2.239
Sb 2.383 0.000 2.239
```

=====

9.
The following is a PBE calculation of crystalline SrTaNO2 at its relaxed geometry, from Alexandria. Values from VASP.

## Properties
magnetic moment: 0.0 μB/cell
calculated volume: 13.4 A^3/atom
E_form (uncorrected): -2.404 eV/atom

Geometry as Quantum ESPRESSO input:
```
&SYSTEM
  ibrav = 0, nat = 20, ntyp = 4
/
ATOMIC_SPECIES
Sr 87.62 Sr.upf
Ta 180.95 Ta.upf
N 14.01 N.upf
O 16.00 O.upf
CELL_PARAMETERS angstrom
5.771 0.000 0.000
0.000 8.041 0.000
-0.023 0.000 5.794
ATOMIC_POSITIONS angstrom
Sr -0.004 0.000 2.877
Sr 2.844 4.017 5.774
Sr 2.905 8.037 0.019
Sr 5.752 4.021 2.917
Ta 0.048 6.002 0.095
Ta 2.823 1.977 2.993
Ta 2.926 5.998 2.801
Ta 5.700 1.982 5.698
N 1.428 6.179 1.446
N 1.435 2.093 4.343
N 4.314 6.114 1.450
N 4.320 2.159 4.348
O 0.050 3.932 0.312
O 1.362 5.722 4.328
O 1.500 1.642 1.433
O 2.828 3.931 2.584
O 2.921 7.952 3.209
O 4.248 5.663 4.361
O 4.386 1.701 1.465
O 5.698 7.952 5.482
```

=====

10.
The following is a PBE calculation of crystalline Pm4YHo6 at its relaxed geometry, from Alexandria. Values from VASP.

## Properties
magnetic moment: 0.0 μB/cell
calculated volume: 35.1 A^3/atom
formation energy: 0.446 eV per atom

Geometry as Quantum ESPRESSO input:
```
&SYSTEM
  ibrav = 0, nat = 11, ntyp = 3
/
ATOMIC_SPECIES
Pm 145.00 Pm.upf
Y 88.91 Y.upf
Ho 164.93 Ho.upf
CELL_PARAMETERS angstrom
-3.845 3.845 6.527
3.845 -3.845 6.527
3.845 3.845 -6.527
ATOMIC_POSITIONS angstrom
Pm 2.509 2.509 -0.990
Pm 1.336 -1.336 7.518
Pm 1.336 1.336 5.537
Pm -1.336 1.336 7.518
Y 0.000 0.000 0.000
Ho 3.845 0.000 0.000
Ho 1.962 -1.962 4.120
Ho 1.883 1.883 2.407
Ho 0.000 3.845 0.000
Ho -1.962 1.962 4.120
Ho 1.962 1.962 8.935
```

=====

11.
The following is a PBE calculation of crystalline Ta2TiTe6 at its relaxed geometry, from Alexandria. Values from VASP.

## Properties
magnetic moment: 0.0 μB/cell
calculated volume: 28.9 A^3/atom
E_form (uncorrected): -0.448 eV/atom

Geometry as Quantum ESPRESSO input:
```
&SYSTEM
  ibrav = 0, nat = 9, ntyp = 3
/
ATOMIC_SPECIES
Ta 180.95 Ta.upf
Ti 47.87 Ti.upf
Te 127.60 Te.upf
CELL_PARAMETERS angstrom
9.045 -1.849 0.000
9.045 1.849 0.000
-3.291 0.000 7.781
ATOMIC_POSITIONS angstrom
Ta 1.969 0.000 2.671
Ta 12.829 0.000 5.110
Ti 9.045 0.000 0.000
Te -0.769 0.000 1.912
Te 3.052 0.000 7.103
Te 4.713 0.000 3.216
Te 10.085 0.000 4.565
Te 11.747 0.000 0.678
Te 15.568 0.000 5.869
```

=====

12.
The following is a PBE calculation of crystalline HfBeIr2 at its relaxed geometry, from Alexandria. Values from VASP.

## Properties
magnetic moment: 0.0 μB/cell
calculated volume: 14.7 A^3/atom
formation energy: -0.711 eV per atom

Geometry as Quantum ESPRESSO input:
```
&SYSTEM
  ibrav = 0, nat = 4, ntyp = 3
/
ATOMIC_SPECIES
Hf 178.49 Hf.upf
Be 9.01 Be.upf
Ir 192.22 Ir.upf
CELL_PARAMETERS angstrom
4.165 0.000 0.000
0.000 4.165 0.000
0.000 0.000 3.383
ATOMIC_POSITIONS angstrom
Hf 0.000 0.000 0.000
Be 2.083 2.083 0.000
Ir 0.000 2.083 1.691
Ir 2.083 0.000 1.691
```

=====

13.
The following is a PBE calculation of crystalline BaAsH2 at its relaxed geometry, from Alexandria. Values from VASP.

## Properties
magnetic moment: 0.0 μB/cell
calculated volume: 18.5 A^3/atom
total DFT energy (no corrections): -0.2486 Ry per atom

Geometry as Quantum ESPRESSO input:
```
&SYSTEM
  ibrav = 0, nat = 8, ntyp = 3
/
ATOMIC_SPECIES
Ba 137.33 Ba.upf
As 74.92 As.upf
H 1.01 H.upf
CELL_PARAMETERS angstrom
-2.337 2.337 6.783
2.337 -2.337 6.783
2.337 2.337 -6.783
ATOMIC_POSITIONS angstrom
Ba 0.000 0.000 0.000
Ba 0.000 2.337 3.391
As 2.337 0.000 3.391
As 0.000 0.000 6.783
H 1.168 -0.010 5.087
H 2.326 1.168 1.696
H 1.168 2.347 -1.696
H 0.010 1.168 8.479
```

=====

14.
The following is a PBE calculation of crystalline Li3BAu at its relaxed geometry, from Alexandria. Values from VASP.

## Properties
magnetic moment: 0.8 μB/cell
calculated volume: 14.8 A^3/atom
formation energy: 0.388 eV per atom

Geometry as Quantum ESPRESSO input:
```
&SYSTEM
  ibrav = 0, nat = 5, ntyp = 3
/
ATOMIC_SPECIES
Li 6.94 Li.upf
B 10.81 B.upf
Au 196.97 Au.upf
CELL_PARAMETERS angstrom
4.201 0.000 0.000
0.000 4.201 0.000
0.000 0.000 4.201
ATOMIC_POSITIONS angstrom
Li 0.000 0.000 2.100
Li 0.000 2.100 0.000
Li 2.100 0.000 0.000
B 0.000 0.000 0.000
Au 2.100 2.100 2.100
```

=====

15.
The following is a PBE calculation of crystalline Ac3Sm5Y2 at its relaxed geometry, from Alexandria. Values from VASP.

## Properties
magnetic moment: 0.0 μB/cell
calculated volume: 37.8 A^3/atom
formation energy: 0.178 eV per atom

Geometry as Quantum ESPRESSO input:
```
&SYSTEM
  ibrav = 0, nat = 20, ntyp = 3
/
ATOMIC_SPECIES
Ac 227.00 Ac.upf
Sm 150.36 Sm.upf
Y 88.91 Y.upf
CELL_PARAMETERS angstrom
5.766 -8.172 0.000
5.766 8.172 0.000
-5.753 0.000 8.013
ATOMIC_POSITIONS angstrom
Ac -1.450 1.830 6.007
Ac 1.451 4.462 6.010
Ac 1.427 -1.830 2.000
Ac 4.352 1.830 6.013
Ac 4.328 -4.462 2.003
Ac 7.229 -1.830 2.006
Sm 1.451 7.740 6.010
Sm 1.485 2.033 0.425
Sm 4.328 3.712 2.003
Sm -1.392 -2.033 4.431
Sm 4.328 0.562 2.003
Sm 1.451 -0.562 6.010
Sm 7.171 2.033 3.582
Sm 1.451 -3.712 6.010
Sm 4.294 -2.033 7.588
Sm 4.328 -7.740 2.003
Y 1.490 1.847 3.621
Y -1.386 -1.847 7.628
Y 7.165 1.847 0.385
Y 4.289 -1.847 4.392
```

=====

16.
The following is a PBE calculation of crystalline PrEr2Zn2 at its relaxed geometry, from Alexandria. Values from VASP.

## Properties
magnetic moment: 0.0 μB/cell
calculated volume: 25.2 A^3/atom
formation energy: -0.248 eV per atom

Geometry as Quantum ESPRESSO input:
```
&SYSTEM
  ibrav = 0, nat = 10, ntyp = 3
/
ATOMIC_SPECIES
Pr 140.91 Pr.upf
Er 167.26 Er.upf
Zn 65.41 Zn.upf
CELL_PARAMETERS angstrom
3.621 0.000 0.000
0.000 5.232 0.000
-1.812 0.000 13.275
ATOMIC_POSITIONS angstrom
Pr 0.004 1.308 3.804
Pr 1.806 3.924 9.472
Er 0.000 3.924 1.240
Er -0.001 3.924 6.181
Er 1.811 1.308 7.095
Er 1.810 1.308 12.035
Zn -0.001 1.308 9.550
Zn 0.000 3.924 12.079
Zn 1.810 1.308 1.196
Zn 1.811 3.924 3.726
```

=====

17.
The following is a PBE calculation of crystalline Li6Se2S at its relaxed geometry, from Alexandria. Values from VASP.

## Properties
magnetic moment: 0.0 μB/cell
calculated volume: 17.3 A^3/atom
E_form (uncorrected): -1.280 eV/atom

Geometry as Quantum ESPRESSO input:
```
&SYSTEM
  ibrav = 0, nat = 9, ntyp = 3
/
ATOMIC_SPECIES
Li 6.94 Li.upf
Se 78.96 Se.upf
S 32.06 S.upf
CELL_PARAMETERS angstrom
-2.092 2.092 8.902
2.092 -2.092 8.902
2.092 2.092 -8.902
ATOMIC_POSITIONS angstrom
Li 2.092 0.000 1.415
Li 2.092 0.000 4.451
Li 2.092 0.000 7.486
Li 0.000 2.092 1.415
Li 0.000 2.092 4.451
Li 0.000 2.092 7.486
Se 0.000 0.000 2.932
Se 0.000 0.000 14.871
S 0.000 0.000 8.902
```

=====

18.
The following is a PBE calculation of crystalline ReIr8Rh3 at its relaxed geometry, from Alexandria. Values from VASP.

## Properties
magnetic moment: 0.0 μB/cell
calculated volume: 17.2 A^3/atom
formation energy: 0.510 eV per atom

Geometry as Quantum ESPRESSO input:
```
&SYSTEM
  ibrav = 0, nat = 12, ntyp = 3
/
ATOMIC_SPECIES
Re 186.21 Re.upf
Ir 192.22 Ir.upf
Rh 102.91 Rh.upf
CELL_PARAMETERS angstrom
-2.566 2.566 7.819
2.566 -2.566 7.819
2.566 2.566 -7.819
ATOMIC_POSITIONS angstrom
Re 0.000 0.000 0.000
Ir 1.049 1.049 -1.961
Ir 1.038 -1.038 5.795
Ir 1.517 -1.517 9.781
Ir 1.528 1.528 2.024
Ir -1.038 1.038 5.795
Ir 1.517 1.517 5.858
Ir 1.038 1.038 9.843
Ir -1.517 1.517 9.781
Rh 2.566 0.000 3.910
Rh 0.000 0.000 7.819
Rh 0.000 2.566 3.910
```

=====

19.
The following is a PBE calculation of crystalline Ca2Te at its relaxed geometry, from Alexandria. Values from VASP.

## Properties
magnetic moment: 0.0 μB/cell
calculated volume: 36.1 A^3/atom
E_form (uncorrected): -0.854 eV/atom

Geometry as Quantum ESPRESSO input:
```
&SYSTEM
  ibrav = 0, nat = 6, ntyp = 2
/
ATOMIC_SPECIES
Ca 40.08 Ca.upf
Te 127.60 Te.upf
CELL_PARAMETERS angstrom
-1.968 1.968 13.991
1.968 -1.968 13.991
1.968 1.968 -13.991
ATOMIC_POSITIONS angstrom
Ca 1.968 0.984 1.683
Ca 1.968 0.984 5.312
Ca 0.000 0.984 8.679
Ca 0.000 0.984 12.307
Te 1.968 -0.984 10.493
Te 0.000 2.951 3.498
```